i:
Below is a geometry-optimized Co3OsF structure, with properties calculated at the PBE+U level.

As for the total moment: 7.63 μB/f.u.

The space group is Pm-3m (No. 221) and the conventional cell measures 4.6340, 4.6340 and 4.6340 Å, with angles of 90.00, 90.00 and 90.00 degrees. The inequivalent atoms are Co at (0.0000, 0.0000, 0.5000), Os at (0.0000, 0.0000, 0.0000) and F at (0.5000, 0.5000, 0.5000).

***

ii:
Below is a geometry-optimized Co3OsF structure, with properties calculated at the PBE+U level.

As for the total moment: 8.18 μB/f.u.

The space group is Pm-3m (No. 221) and the conventional cell measures 4.0121, 4.0121 and 4.0121 Å, with angles of 90.00, 90.00 and 90.00 degrees. The inequivalent atoms are Co at (0.0000, 0.0000, 0.5000), Os at (0.5000, 0.5000, 0.5000) and F at (0.0000, 0.0000, 0.0000).

***

Top of the stability list: ii, leading by 819 meV/atom.

***

i:
Below is a geometry-optimized CoTeOsF2 structure, with properties calculated at the PBE+U level.

As for the total moment: 2.61 μB/f.u.

The space group is P4/mmm (No. 123) and the conventional cell measures 3.8108, 3.8108 and 5.7955 Å, with angles of 90.00, 90.00 and 90.00 degrees. The inequivalent atoms are Co at (0.0000, 0.0000, 0.0000), Te at (0.5000, 0.5000, 0.5000), Os at (0.0000, 0.0000, 0.5000) and F at (0.0000, 0.5000, 0.0000).

***

ii:
Below is a geometry-optimized CoTeOsF2 structure, with properties calculated at the PBE+U level.

As for the total moment: 3.29 μB/f.u.

The space group is P4/mmm (No. 123) and the conventional cell measures 4.1787, 4.1787 and 5.1434 Å, with angles of 90.00, 90.00 and 90.00 degrees. The inequivalent atoms are Co at (0.0000, 0.0000, 0.0000), Te at (0.5000, 0.5000, 0.5000), Os at (0.5000, 0.5000, 0.0000) and F at (0.0000, 0.5000, 0.5000).

***

Top of the stability list: i, leading by 566 meV/atom.

***

i:
Below is a geometry-optimized CoP3F structure, with properties calculated at the PBE+U level.

As for the total moment: 1.03 μB/f.u.

The space group is Pm-3m (No. 221) and the conventional cell measures 4.2870, 4.2870 and 4.2870 Å, with angles of 90.00, 90.00 and 90.00 degrees. The inequivalent atoms are Co at (0.0000, 0.0000, 0.0000), P at (0.0000, 0.0000, 0.5000) and F at (0.5000, 0.5000, 0.5000).

***

ii:
Below is a geometry-optimized CoP3F structure, with properties calculated at the PBE+U level.

As for the total moment: 0.00 μB/f.u.

The space group is Pm-3m (No. 221) and the conventional cell measures 4.2220, 4.2220 and 4.2220 Å, with angles of 90.00, 90.00 and 90.00 degrees. The inequivalent atoms are Co at (0.0000, 0.0000, 0.0000), P at (0.0000, 0.5000, 0.5000) and F at (0.5000, 0.5000, 0.5000).

***

Top of the stability list: i, leading by 696 meV/atom.

***

i:
Below is a geometry-optimized Co2PF structure, with properties calculated at the PBE+U level.

As for the total moment: 1.59 μB/f.u.

The space group is Fm-3m (No. 225) and the conventional cell measures 5.4619, 5.4619 and 5.4619 Å, with angles of 90.00, 90.00 and 90.00 degrees. The inequivalent atoms are Co at (0.2500, 0.2500, 0.2500), P at (0.0000, 0.0000, 0.0000) and F at (0.0000, 0.0000, 0.5000).

***

ii:
Below is a geometry-optimized Co2PF structure, with properties calculated at the PBE+U level.

As for the total moment: 4.34 μB/f.u.

The space group is I-42d (No. 122) and the conventional cell measures 5.1161, 5.1161 and 9.8404 Å, with angles of 90.00, 90.00 and 90.00 degrees. The inequivalent atoms are Co at (0.2301, 0.2500, 0.1250), P at (0.0000, 0.0000, 0.5000) and F at (0.0000, 0.0000, 0.0000).

***

Top of the stability list: ii, leading by 418 meV/atom.

***

i:
Below is a geometry-optimized CoPF2 structure, with properties calculated at the PBE+U level.

As for the total moment: 2.91 μB/f.u.

The space group is R-3m (No. 166, hexagonal axes) and the conventional cell measures 2.8896, 2.8896 and 27.3572 Å, with angles of 90.00, 90.00 and 120.00 degrees. The inequivalent atoms are Co at (0.0000, 0.0000, 0.0000), P at (0.0000, 0.0000, 0.5000) and F at (0.0000, 0.0000, 0.3747).

***

ii:
Below is a geometry-optimized CoPF2 structure, with properties calculated at the PBE+U level.

As for the total moment: 2.99 μB/f.u.

The space group is I-42d (No. 122) and the conventional cell measures 5.9394, 5.9394 and 8.0238 Å, with angles of 90.00, 90.00 and 90.00 degrees. The inequivalent atoms are Co at (0.0000, 0.0000, 0.0000), P at (0.0000, 0.0000, 0.5000) and F at (0.1131, 0.2500, 0.1250).

***

Top of the stability list: i, leading by 481 meV/atom.

***

i:
Below is a geometry-optimized Co2P2F structure, with properties calculated at the PBE+U level.

As for the total moment: 3.00 μB/f.u.

The space group is I4/mmm (No. 139) and the conventional cell measures 3.5022, 3.5022 and 11.4447 Å, with angles of 90.00, 90.00 and 90.00 degrees. The inequivalent atoms are Co at (0.0000, 0.0000, 0.1275), P at (0.0000, 0.5000, 0.2500) and F at (0.0000, 0.0000, 0.5000).

***

ii:
Below is a geometry-optimized Co2P2F structure, with properties calculated at the PBE+U level.

As for the total moment: 1.03 μB/f.u.

The space group is P4/mbm (No. 127) and the conventional cell measures 6.5475, 6.5475 and 2.5957 Å, with angles of 90.00, 90.00 and 90.00 degrees. The inequivalent atoms are Co at (0.1395, 0.3605, 0.0000), P at (0.1485, 0.6485, 0.5000) and F at (0.0000, 0.0000, 0.0000).

***

Top of the stability list: ii, leading by 31 meV/atom.

***

i:
Below is a geometry-optimized CoPS2F structure, with properties calculated at the PBE+U level.

As for the total moment: 3.14 μB/f.u.

The space group is P4/mmm (No. 123) and the conventional cell measures 4.9198, 4.9198 and 3.6477 Å, with angles of 90.00, 90.00 and 90.00 degrees. The inequivalent atoms are Co at (0.0000, 0.0000, 0.0000), P at (0.5000, 0.5000, 0.0000), S at (0.0000, 0.5000, 0.5000) and F at (0.5000, 0.5000, 0.5000).

***

ii:
Below is a geometry-optimized CoPS2F structure, with properties calculated at the PBE+U level.

As for the total moment: 2.99 μB/f.u.

The space group is P4/mmm (No. 123) and the conventional cell measures 4.3397, 4.3397 and 4.4447 Å, with angles of 90.00, 90.00 and 90.00 degrees. The inequivalent atoms are Co at (0.0000, 0.0000, 0.0000), P at (0.0000, 0.0000, 0.5000), S at (0.0000, 0.5000, 0.0000) and F at (0.5000, 0.5000, 0.5000).

***

Top of the stability list: ii, leading by 312 meV/atom.

***

i:
Below is a geometry-optimized Co3PbF structure, with properties calculated at the PBE+U level.

As for the total moment: 7.31 μB/f.u.

The space group is Pm-3m (No. 221) and the conventional cell measures 5.1219, 5.1219 and 5.1219 Å, with angles of 90.00, 90.00 and 90.00 degrees. The inequivalent atoms are Co at (0.0000, 0.0000, 0.5000), Pb at (0.0000, 0.0000, 0.0000) and F at (0.5000, 0.5000, 0.5000).

***

ii:
Below is a geometry-optimized Co3PbF structure, with properties calculated at the PBE+U level.

As for the total moment: 6.00 μB/f.u.

The space group is Pm-3m (No. 221) and the conventional cell measures 4.3115, 4.3115 and 4.3115 Å, with angles of 90.00, 90.00 and 90.00 degrees. The inequivalent atoms are Co at (0.0000, 0.0000, 0.5000), Pb at (0.5000, 0.5000, 0.5000) and F at (0.0000, 0.0000, 0.0000).

***

Top of the stability list: ii, leading by 878 meV/atom.

***

i:
Below is a geometry-optimized CoPb2F structure, with properties calculated at the PBE+U level.

As for the total moment: 1.22 μB/f.u.

The space group is I-42d (No. 122) and the conventional cell measures 5.3913, 5.3913 and 13.8717 Å, with angles of 90.00, 90.00 and 90.00 degrees. The inequivalent atoms are Co at (0.0000, 0.0000, 0.0000), Pb at (0.2420, 0.2500, 0.6250) and F at (0.0000, 0.0000, 0.5000).

***

ii:
Below is a geometry-optimized CoPb2F structure, with properties calculated at the PBE+U level.

As for the total moment: 0.00 μB/f.u.

The space group is Fm-3m (No. 225) and the conventional cell measures 6.6501, 6.6501 and 6.6501 Å, with angles of 90.00, 90.00 and 90.00 degrees. The inequivalent atoms are Co at (0.0000, 0.0000, 0.0000), Pb at (0.2500, 0.2500, 0.2500) and F at (0.0000, 0.0000, 0.5000).

***

Top of the stability list: i, leading by 104 meV/atom.

***

i:
Below is a geometry-optimized ScCoPd2F structure, with properties calculated at the PBE+U level.

As for the total moment: 2.17 μB/f.u.

The space group is P4/mmm (No. 123) and the conventional cell measures 4.9412, 4.9412 and 3.8760 Å, with angles of 90.00, 90.00 and 90.00 degrees. The inequivalent atoms are Sc at (0.0000, 0.0000, 0.0000), Co at (0.5000, 0.5000, 0.5000), Pd at (0.0000, 0.5000, 0.0000) and F at (0.0000, 0.0000, 0.5000).

***

ii:
Below is a geometry-optimized ScCoPd2F structure, with properties calculated at the PBE+U level.

As for the total moment: 2.44 μB/f.u.

The space group is P4/mmm (No. 123) and the conventional cell measures 4.6795, 4.6795 and 3.7694 Å, with angles of 90.00, 90.00 and 90.00 degrees. The inequivalent atoms are Sc at (0.0000, 0.0000, 0.0000), Co at (0.5000, 0.5000, 0.0000), Pd at (0.0000, 0.5000, 0.5000) and F at (0.5000, 0.5000, 0.5000).

***

Top of the stability list: i, leading by 354 meV/atom.

***

i:
Below is a geometry-optimized CoPtF3 structure, with properties calculated at the PBE+U level.

As for the total moment: 2.95 μB/f.u.

The space group is Pm-3m (No. 221) and the conventional cell measures 4.3151, 4.3151 and 4.3151 Å, with angles of 90.00, 90.00 and 90.00 degrees. The inequivalent atoms are Co at (0.0000, 0.0000, 0.0000), Pt at (0.5000, 0.5000, 0.5000) and F at (0.0000, 0.5000, 0.5000).

***

ii:
Below is a geometry-optimized CoPtF3 structure, with properties calculated at the PBE+U level.

As for the total moment: 4.07 μB/f.u.

The space group is Pm-3m (No. 221) and the conventional cell measures 4.0299, 4.0299 and 4.0299 Å, with angles of 90.00, 90.00 and 90.00 degrees. The inequivalent atoms are Co at (0.0000, 0.0000, 0.0000), Pt at (0.5000, 0.5000, 0.5000) and F at (0.0000, 0.0000, 0.5000).

***

Top of the stability list: ii, leading by 322 meV/atom.

***

i:
Below is a geometry-optimized CoPt2F structure, with properties calculated at the PBE+U level.

As for the total moment: 3.71 μB/f.u.

The space group is Fm-3m (No. 225) and the conventional cell measures 5.9927, 5.9927 and 5.9927 Å, with angles of 90.00, 90.00 and 90.00 degrees. The inequivalent atoms are Co at (0.0000, 0.0000, 0.0000), Pt at (0.2500, 0.2500, 0.2500) and F at (0.0000, 0.0000, 0.5000).

***

ii:
Below is a geometry-optimized CoPt2F structure, with properties calculated at the PBE+U level.

As for the total moment: 3.38 μB/f.u.

The space group is I-42d (No. 122) and the conventional cell measures 6.7107, 6.7107 and 5.2906 Å, with angles of 90.00, 90.00 and 90.00 degrees. The inequivalent atoms are Co at (0.0000, 0.0000, 0.0000), Pt at (0.2388, 0.2500, 0.6250) and F at (0.0000, 0.0000, 0.5000).

***

Top of the stability list: i, leading by 26 meV/atom.

***

i:
Below is a geometry-optimized Co3PtF structure, with properties calculated at the PBE+U level.

As for the total moment: 6.40 μB/f.u.

The space group is Pm-3m (No. 221) and the conventional cell measures 4.0804, 4.0804 and 4.0804 Å, with angles of 90.00, 90.00 and 90.00 degrees. The inequivalent atoms are Co at (0.0000, 0.0000, 0.5000), Pt at (0.5000, 0.5000, 0.5000) and F at (0.0000, 0.0000, 0.0000).

***

ii:
Below is a geometry-optimized Co3PtF structure, with properties calculated at the PBE+U level.

As for the total moment: 7.83 μB/f.u.

The space group is Pm-3m (No. 221) and the conventional cell measures 4.8141, 4.8141 and 4.8141 Å, with angles of 90.00, 90.00 and 90.00 degrees. The inequivalent atoms are Co at (0.0000, 0.0000, 0.5000), Pt at (0.0000, 0.0000, 0.0000) and F at (0.5000, 0.5000, 0.5000).

***

Top of the stability list: i, leading by 575 meV/atom.

***

i:
Below is a geometry-optimized Co2PtF structure, with properties calculated at the PBE+U level.

As for the total moment: 5.02 μB/f.u.

The space group is Fm-3m (No. 225) and the conventional cell measures 5.9075, 5.9075 and 5.9075 Å, with angles of 90.00, 90.00 and 90.00 degrees. The inequivalent atoms are Co at (0.2500, 0.2500, 0.2500), Pt at (0.0000, 0.0000, 0.0000) and F at (0.0000, 0.0000, 0.5000).

***

ii:
Below is a geometry-optimized Co2PtF structure, with properties calculated at the PBE+U level.

As for the total moment: 5.14 μB/f.u.

The space group is I-42d (No. 122) and the conventional cell measures 6.1660, 6.1660 and 5.9738 Å, with angles of 90.00, 90.00 and 90.00 degrees. The inequivalent atoms are Co at (0.1892, 0.7500, 0.1250), Pt at (0.0000, 0.0000, 0.5000) and F at (0.0000, 0.0000, 0.0000).

***

Top of the stability list: ii, leading by 486 meV/atom.